[1]
Here is a geometry-optimized ReSbW structure from the Alexandria database. Energies are from GGA-PBE.

The structure in CIF format:
```
data_ReSbW
_symmetry_space_group_name_H-M 'P -6 m 2'
_symmetry_Int_Tables_number 187
_symmetry_space_group_name_Hall 'P -6 2'
_cell_length_a 4.4883
_cell_length_b 4.4883
_cell_length_c 2.9845
_cell_angle_alpha 90.00
_cell_angle_beta 90.00
_cell_angle_gamma 120.00
loop_
_atom_site_label
_atom_site_type_symbol
_atom_site_fract_x
_atom_site_fract_y
_atom_site_fract_z
Re1 Re 0.0000 0.0000 0.0000
Sb1 Sb 0.6667 0.3333 0.0000
W1 W 0.3333 0.6667 0.5000
```

Summary:
The value obtained for the total energy is -27.72 eV per cell. The calculation puts the volume at 17.356 Å³ per atom. The calculation puts the formation energy from raw total energies at 0.60 eV per atom. For the calculated density, the calculation gives 15.685 g/cm³. As for the density of states at the Fermi level: 0.446 states/eV per atom. The calculation puts the energy above the most stable polymorph in this dataset at 0.77 eV per formula unit.



[2]
Here is a geometry-optimized Ba3LaB structure from the Alexandria database. Energies are from GGA-PBE.

The structure in CIF format:
```
data_Ba3LaB
_symmetry_space_group_name_H-M 'P m -3 m'
_symmetry_Int_Tables_number 221
_symmetry_space_group_name_Hall '-P 4 2 3'
_cell_length_a 6.064
_cell_length_b 6.064
_cell_length_c 6.064
_cell_angle_alpha 90.00
_cell_angle_beta 90.00
_cell_angle_gamma 90.00
loop_
_atom_site_label
_atom_site_type_symbol
_atom_site_fract_x
_atom_site_fract_y
_atom_site_fract_z
Ba1 Ba 0.000 0.000 0.500
La1 La 0.500 0.500 0.500
B1 B 0.000 0.000 0.000
```

Summary:
The value obtained for the total energy is -14.46 eV per cell. The calculation puts the volume at 44.589 Å³ per atom. For the calculated density, the calculation gives 4.184 g/cm³. The value obtained for the energy relative to the elements is 0.582 eV per atom. As for the density of states at the Fermi level: 2.427 states/eV per atom. The calculation puts the energy above the most stable polymorph in this dataset at 0.00 eV per formula unit.



[3]
Here is a geometry-optimized Co2TeRh structure from the Alexandria database. Energies are from GGA-PBE.

The structure in CIF format:
```
data_Co2TeRh
_symmetry_space_group_name_H-M 'I 4/m m m'
_symmetry_Int_Tables_number 139
_symmetry_space_group_name_Hall '-I 4 2'
_cell_length_a 3.897
_cell_length_b 3.897
_cell_length_c 7.479
_cell_angle_alpha 90.00
_cell_angle_beta 90.00
_cell_angle_gamma 90.00
loop_
_atom_site_label
_atom_site_type_symbol
_atom_site_fract_x
_atom_site_fract_y
_atom_site_fract_z
Co1 Co 0.000 0.500 0.250
Te1 Te 0.000 0.000 0.000
Rh1 Rh 0.000 0.000 0.500
```

Summary:
The value obtained for the total energy is -47.98 eV per cell. The calculation puts the volume at 14.196 Å³ per atom. The calculation puts the formation energy from raw total energies at 0.18 eV per atom. For the calculated density, the calculation gives 10.188 g/cm³. As for the density of states at the Fermi level: 1.039 states/eV per atom.



[4]
Here is a geometry-optimized Er6Tl5Ga structure from the Alexandria database. Energies are from GGA-PBE.

The structure in CIF format:
```
data_Er6Tl5Ga
_symmetry_space_group_name_H-M 'C 1 2/m 1'
_symmetry_Int_Tables_number 12
_cell_length_a 9.462
_cell_length_b 11.338
_cell_length_c 6.441
_cell_angle_alpha 90.00
_cell_angle_beta 103.83
_cell_angle_gamma 90.00
loop_
_symmetry_equiv_pos_as_xyz
'x,y,z'
'-x,-y,-z'
'-x,y,-z'
'x,-y,z'
'x+1/2,y+1/2,z'
'-x+1/2,-y+1/2,-z'
'-x+1/2,y+1/2,-z'
'x+1/2,-y+1/2,z'
loop_
_atom_site_label
_atom_site_type_symbol
_atom_site_fract_x
_atom_site_fract_y
_atom_site_fract_z
Er1 Er 0.224 0.000 0.237
Er2 Er 0.234 0.161 0.731
Tl1 Tl 0.000 0.190 0.000
Tl2 Tl 0.000 0.351 0.500
Tl3 Tl 0.000 0.500 0.000
Ga1 Ga 0.000 0.000 0.500
```

Summary:
The value obtained for the total energy is -90.89 eV per cell. The calculation puts the volume at 27.955 Å³ per atom. For the calculated density, the calculation gives 10.371 g/cm³. The value obtained for the energy relative to the elements is -0.268 eV per atom. As for the density of states at the Fermi level: 0.830 states/eV per atom. The calculation puts the energy above the most stable polymorph in this dataset at 0.90 eV per formula unit.



> What is the volume in the third record?

14.196 Å³ per atom



> density of states at the Fermi level of number 3 (Co2TeRh)?

1.039 states/eV per atom



> The lowest calculated density belongs to which entry?

Ba3LaB